The following is a DFT calculation (PBE-GGA) of an optimized crystal structure of MgGaPd.

Unit cell a=7.8455 b=9.3870 c=3.7092 alpha=90.00 beta=90.00 gamma=90.00
Space group Cmmm (No. 65)
Inequivalent atoms, fractional coordinates:
Mg1 0.0000 0.2139 0.0000 x4
Ga1 0.0000 0.0000 0.5000 x2
Ga2 0.0000 0.5000 0.0000 x2
Pd1 0.1940 0.5000 0.5000 x4

* volume: 273 Å³ per cell
* size of the total moment: 0.0 μB/cell
* ΔE_f: 6 meV/atom